First-principles (GGA-PBE) data for crystalline PmNd4Mg3 at its relaxed geometry, as listed in Alexandria.

Cell: 3.847 5.637 11.376 Å, 90.00 90.00 90.00°
Atoms (fractional coordinates):
Pm (0.000, 0.000, 0.000)
Nd (0.500, 0.000, 0.264)
Nd (0.500, 0.000, 0.736)
Nd (0.500, 0.500, 0.000)
Nd (0.500, 0.500, 0.500)
Mg (0.000, 0.000, 0.500)
Mg (0.000, 0.500, 0.251)
Mg (0.000, 0.500, 0.749)

Computed properties:
The calculation puts the energy relative to the elements at -36 meV per atom. Its space group is Pmmm. The calculation puts the mass density at 5.35 g cm⁻³. The spin magnetization is 0.00 μB per cell.

=====

First-principles (GGA-PBE) data for crystalline Pm3Nd6Mg at its relaxed geometry, as listed in Alexandria.

Cell: 10.141 10.141 9.521 Å, 90.00 90.00 135.35°
Atoms (fractional coordinates):
Pm (0.040, 0.960, 0.500)
Pm (0.123, 0.371, 0.668)
Pm (0.371, 0.123, 0.168)
Pm (0.629, 0.877, 0.668)
Pm (0.877, 0.629, 0.168)
Pm (0.960, 0.040, 0.000)
Nd (0.049, 0.442, 0.028)
Nd (0.195, 0.327, 0.300)
Nd (0.210, 0.790, 0.829)
Nd (0.327, 0.195, 0.800)
Nd (0.442, 0.049, 0.528)
Nd (0.456, 0.544, 0.994)
Nd (0.544, 0.456, 0.494)
Nd (0.558, 0.951, 0.028)
Nd (0.673, 0.805, 0.300)
Nd (0.790, 0.210, 0.329)
Nd (0.805, 0.673, 0.800)
Nd (0.951, 0.558, 0.528)
Mg (0.281, 0.719, 0.301)
Mg (0.719, 0.281, 0.801)

Computed properties:
The calculation puts the energy relative to the elements at 101 meV per atom. Its space group is Cmc2_1. The calculation puts the mass density at 6.39 g cm⁻³. The calculation puts the relative energy among the computed polymorphs at 0 meV per atom. The spin magnetization is 0.00 μB per cell.

=====

First-principles (GGA-PBE) data for crystalline Pm5NdMg at its relaxed geometry, as listed in Alexandria.

Cell: 5.652 6.774 13.469 Å, 95.68 90.02 114.63°
Atoms (fractional coordinates):
Pm (0.064, 0.129, 0.132)
Pm (0.065, 0.129, 0.633)
Pm (0.243, 0.485, 0.926)
Pm (0.243, 0.486, 0.426)
Pm (0.365, 0.729, 0.194)
Pm (0.635, 0.271, 0.806)
Pm (0.757, 0.514, 0.574)
Pm (0.757, 0.515, 0.074)
Pm (0.935, 0.871, 0.367)
Pm (0.936, 0.871, 0.868)
Nd (0.365, 0.730, 0.694)
Nd (0.635, 0.270, 0.306)
Mg (0.500, 0.000, 0.000)
Mg (0.500, 0.000, 0.500)

Computed properties:
The calculation puts the energy relative to the elements at 18 meV per atom. Its space group is P-1. The calculation puts the mass density at 6.37 g cm⁻³. The spin magnetization is 0.00 μB per cell.

=====

First-principles (GGA-PBE) data for crystalline PmNd2Mg5 at its relaxed geometry, as listed in Alexandria.

Cell: 8.716 8.716 8.716 Å, 144.66 144.66 50.84°
Atoms (fractional coordinates):
Pm (0.000, 0.000, 0.000)
Nd (0.261, 0.261, 0.000)
Nd (0.739, 0.739, 0.000)
Mg (0.117, 0.617, 0.500)
Mg (0.383, 0.883, 0.500)
Mg (0.500, 0.500, 0.000)
Mg (0.617, 0.117, 0.500)
Mg (0.883, 0.383, 0.500)

Computed properties:
The calculation puts the energy relative to the elements at -96 meV per atom. Its space group is I4/mmm. The calculation puts the mass density at 4.18 g cm⁻³. The spin magnetization is 0.00 μB per cell.